Entry 1:
Density functional theory data (GGA-PBEsol) for an optimized crystal structure of LiZrSe2.

Summary:
Total DFT energy (no corrections): -6.091 eV per atom
Fermi-level density of states: 1.6 states/eV/cell
Formation energy without anion corrections: -1.40 eV/atom
Crystal system: trigonal
Total moment: 0.00 μB/atom
Mass density: 5.5 g cm⁻³

Cell: 3.6804 3.6804 6.6148 Å, 90.00 90.00 120.00°
Space group P-3m1 (No. 164)
Unique sites:
Li 0.0000 0.0000 0.0000 x1
Zr 0.0000 0.0000 0.5000 x1
Se 0.3333 0.6667 0.7540 x2

Entry 2:
Density functional theory data (GGA-PBEsol) for an optimized crystal structure of KTl3.

Summary:
Total DFT energy (no corrections): -2.254 eV per atom
Fermi-level density of states: 4.9 states/eV/cell
Crystal system: orthorhombic
Total moment: 0.00 μB/atom
Mass density: 9.0 g cm⁻³

Cell: 6.766 10.806 3.297 Å, 90.00 90.00 90.00°
Space group Cmmm (No. 65)
Unique sites:
K 0.000 0.000 0.000 x2
Tl 0.000 0.500 0.000 x2
Tl 0.250 0.250 0.500 x4

Entry 3:
Density functional theory data (GGA-PBEsol) for an optimized crystal structure of BaMgCd.

Summary:
Total DFT energy (no corrections): -1.591 eV per atom
Fermi-level density of states: 16.2 states/eV/cell
Crystal system: cubic
Total moment: 0.00 μB/atom
Mass density: 4.2 g cm⁻³

Cell: 7.557 7.557 7.557 Å, 90.00 90.00 90.00°
Space group F-43m (No. 216)
Unique sites:
Ba 0.000 0.000 0.000 x4
Mg 0.250 0.250 0.750 x4
Cd 0.000 0.000 0.500 x4

Q: Look up the total DFT energy (no corrections) of the first one.
A: -6.091 eV per atom